# ZrWNO2 (PBE+U, optimized geometry)
data_ZrWNO2
_cell_length_a 4.0213
_cell_length_b 4.0213
_cell_length_c 4.4737
_cell_angle_alpha 90.00
_cell_angle_beta 90.00
_cell_angle_gamma 90.00
_space_group_name_H-M_alt 'P 4/m m m'
_space_group_IT_number 123
_space_group_name_Hall '-P 4 2'
loop_
_atom_site_label
_atom_site_fract_x
_atom_site_fract_y
_atom_site_fract_z
_atom_site_occupancy
Zr1 0.0000 0.0000 0.0000 1
W1 0.5000 0.5000 0.5000 1
N1 0.0000 0.0000 0.5000 1
O1 0.0000 0.5000 0.0000 1
# final energy: -38.10 eV per cell
# theoretical density: 7.37 g cm⁻³